*P*
A relaxed AcLa5Dy2 crystal. Source: Alexandria via LeMat-Bulk, functional PBE.

CIF file:
```
data_AcLa5Dy2
_chemical_formula_sum 'Ac2 La10 Dy4'
_cell_length_a 3.711
_cell_length_b 11.500
_cell_length_c 13.745
_cell_angle_alpha 90.00
_cell_angle_beta 90.00
_cell_angle_gamma 90.00
_symmetry_space_group_name_H-M 'I m m m'
_symmetry_Int_Tables_number 71
_symmetry_space_group_name_Hall '-I 2 2'
loop_
_atom_site_label
_atom_site_fract_x
_atom_site_fract_y
_atom_site_fract_z
Ac1 0.000 0.000 0.000
La1 0.000 0.228 0.368
La2 0.000 0.500 0.000
Dy1 0.000 0.500 0.255
```

*Q*
A relaxed AcLa5Dy2 crystal. Source: Alexandria via LeMat-Bulk, functional PBE.

CIF file:
```
data_AcLa5Dy2
_chemical_formula_sum 'Ac2 La10 Dy4'
_cell_length_a 7.436
_cell_length_b 14.871
_cell_length_c 5.253
_cell_angle_alpha 90.00
_cell_angle_beta 90.00
_cell_angle_gamma 90.00
_symmetry_space_group_name_H-M 'P b a m'
_symmetry_Int_Tables_number 55
loop_
_symmetry_equiv_pos_as_xyz
'x,y,z'
'-x,-y,-z'
'-x,-y,z'
'x,y,-z'
'x+1/2,-y+1/2,-z'
'-x+1/2,y+1/2,z'
'-x+1/2,y+1/2,-z'
'x+1/2,-y+1/2,z'
loop_
_atom_site_label
_atom_site_fract_x
_atom_site_fract_y
_atom_site_fract_z
Ac1 0.000 0.000 0.000
La1 0.000 0.252 0.000
La2 0.000 0.500 0.000
La3 0.247 0.373 0.500
Dy1 0.249 0.626 0.500
```

The structure with the least stability is *P*.

*P*
A relaxed AcLaDyTh crystal. Source: Alexandria via LeMat-Bulk, functional PBE.

CIF file:
```
data_AcLaDyTh
_chemical_formula_sum 'Ac1 La1 Dy1 Th1'
_cell_length_a 3.692
_cell_length_b 3.692
_cell_length_c 10.607
_cell_angle_alpha 90.00
_cell_angle_beta 90.00
_cell_angle_gamma 90.00
_symmetry_space_group_name_H-M 'P 4 m m'
_symmetry_Int_Tables_number 99
loop_
_symmetry_equiv_pos_as_xyz
'x,y,z'
'-y,x,z'
'-x,-y,z'
'y,-x,z'
'-x,y,z'
'y,x,z'
'x,-y,z'
'-y,-x,z'
loop_
_atom_site_label
_atom_site_fract_x
_atom_site_fract_y
_atom_site_fract_z
Ac1 0.000 0.000 0.000
La1 0.500 0.500 0.716
Dy1 0.500 0.500 0.263
Th1 0.000 0.000 0.486
```

*Q*
A relaxed AcLaDyTh crystal. Source: Alexandria via LeMat-Bulk, functional PBE.

CIF file:
```
data_AcLaDyTh
_chemical_formula_sum 'Ac4 La4 Dy4 Th4'
_cell_length_a 8.352
_cell_length_b 8.352
_cell_length_c 8.352
_cell_angle_alpha 90.00
_cell_angle_beta 90.00
_cell_angle_gamma 90.00
_symmetry_space_group_name_H-M 'F -4 3 m'
_symmetry_Int_Tables_number 216
_symmetry_space_group_name_Hall 'F -4 2 3'
loop_
_atom_site_label
_atom_site_fract_x
_atom_site_fract_y
_atom_site_fract_z
Ac1 0.000 0.000 0.000
La1 0.000 0.000 0.500
Dy1 0.250 0.250 0.250
Th1 0.250 0.250 0.750
```

The structure with the least stability is *Q*.

*P*
A relaxed LiAcDy2 crystal. Source: Alexandria via LeMat-Bulk, functional PBE.

CIF file:
```
data_LiAcDy2
_chemical_formula_sum 'Li3 Ac3 Dy6'
_cell_length_a 3.6066
_cell_length_b 3.6066
_cell_length_c 37.1515
_cell_angle_alpha 90.00
_cell_angle_beta 90.00
_cell_angle_gamma 120.00
_symmetry_space_group_name_H-M 'R -3 m'
_symmetry_Int_Tables_number 166
_symmetry_space_group_name_Hall '-R 3 2"'
loop_
_atom_site_label
_atom_site_fract_x
_atom_site_fract_y
_atom_site_fract_z
Li1 0.0000 0.0000 0.0000
Ac1 0.0000 0.0000 0.5000
Dy1 0.0000 0.0000 0.0874
```

*Q*
A relaxed LiAcDy2 crystal. Source: Alexandria via LeMat-Bulk, functional PBE.

CIF file:
```
data_LiAcDy2
_chemical_formula_sum 'Li1 Ac1 Dy2'
_cell_length_a 5.819
_cell_length_b 5.819
_cell_length_c 3.847
_cell_angle_alpha 90.00
_cell_angle_beta 90.00
_cell_angle_gamma 90.00
_symmetry_space_group_name_H-M 'P 4/m m m'
_symmetry_Int_Tables_number 123
_symmetry_space_group_name_Hall '-P 4 2'
loop_
_atom_site_label
_atom_site_fract_x
_atom_site_fract_y
_atom_site_fract_z
Li1 0.000 0.000 0.000
Ac1 0.500 0.500 0.000
Dy1 0.000 0.500 0.500
```

The structure with the least stability is *P*.

*P*
A relaxed LiAcDy2 crystal. Source: Alexandria via LeMat-Bulk, functional PBE.

CIF file:
```
data_LiAcDy2
_chemical_formula_sum 'Li4 Ac4 Dy8'
_cell_length_a 8.057
_cell_length_b 8.057
_cell_length_c 8.057
_cell_angle_alpha 90.00
_cell_angle_beta 90.00
_cell_angle_gamma 90.00
_symmetry_space_group_name_H-M 'F m -3 m'
_symmetry_Int_Tables_number 225
_symmetry_space_group_name_Hall '-F 4 2 3'
loop_
_atom_site_label
_atom_site_fract_x
_atom_site_fract_y
_atom_site_fract_z
Li1 0.000 0.000 0.000
Ac1 0.000 0.000 0.500
Dy1 0.250 0.250 0.250
```

*Q*
A relaxed LiAcDy2 crystal. Source: Alexandria via LeMat-Bulk, functional PBE.

CIF file:
```
data_LiAcDy2
_chemical_formula_sum 'Li1 Ac1 Dy2'
_cell_length_a 3.790
_cell_length_b 3.790
_cell_length_c 8.749
_cell_angle_alpha 90.00
_cell_angle_beta 90.00
_cell_angle_gamma 90.00
_symmetry_space_group_name_H-M 'P 4/m m m'
_symmetry_Int_Tables_number 123
_symmetry_space_group_name_Hall '-P 4 2'
loop_
_atom_site_label
_atom_site_fract_x
_atom_site_fract_y
_atom_site_fract_z
Li1 0.000 0.000 0.000
Ac1 0.000 0.000 0.500
Dy1 0.500 0.500 0.206
```

The structure with the least stability is *P*.

*P*
A relaxed Li2AcDy crystal. Source: Alexandria via LeMat-Bulk, functional PBE.

CIF file:
```
data_Li2AcDy
_chemical_formula_sum 'Li8 Ac4 Dy4'
_cell_length_a 7.796
_cell_length_b 7.796
_cell_length_c 7.796
_cell_angle_alpha 90.00
_cell_angle_beta 90.00
_cell_angle_gamma 90.00
_symmetry_space_group_name_H-M 'F m -3 m'
_symmetry_Int_Tables_number 225
_symmetry_space_group_name_Hall '-F 4 2 3'
loop_
_atom_site_label
_atom_site_fract_x
_atom_site_fract_y
_atom_site_fract_z
Li1 0.250 0.250 0.250
Ac1 0.000 0.000 0.000
Dy1 0.000 0.000 0.500
```

*Q*
A relaxed Li2AcDy crystal. Source: Alexandria via LeMat-Bulk, functional PBE.

CIF file:
```
data_Li2AcDy
_chemical_formula_sum 'Li2 Ac1 Dy1'
_cell_length_a 3.872
_cell_length_b 3.872
_cell_length_c 7.779
_cell_angle_alpha 90.00
_cell_angle_beta 90.00
_cell_angle_gamma 90.00
_symmetry_space_group_name_H-M 'P 4/m m m'
_symmetry_Int_Tables_number 123
_symmetry_space_group_name_Hall '-P 4 2'
loop_
_atom_site_label
_atom_site_fract_x
_atom_site_fract_y
_atom_site_fract_z
Li1 0.000 0.000 0.229
Ac1 0.500 0.500 0.500
Dy1 0.500 0.500 0.000
```

*R*
A relaxed Li2AcDy crystal. Source: Alexandria via LeMat-Bulk, functional PBE.

CIF file:
```
data_Li2AcDy
_chemical_formula_sum 'Li6 Ac3 Dy3'
_cell_length_a 3.6154
_cell_length_b 3.6154
_cell_length_c 32.8622
_cell_angle_alpha 90.00
_cell_angle_beta 90.00
_cell_angle_gamma 120.00
_symmetry_space_group_name_H-M 'R -3 m'
_symmetry_Int_Tables_number 166
_symmetry_space_group_name_Hall '-R 3 2"'
loop_
_atom_site_label
_atom_site_fract_x
_atom_site_fract_y
_atom_site_fract_z
Li1 0.0000 0.0000 0.2460
Ac1 0.0000 0.0000 0.0000
Dy1 0.0000 0.0000 0.5000
```

The structure with the least stability is *R*.

*P*
A relaxed Ac2DyLu crystal. Source: Alexandria via LeMat-Bulk, functional PBE.

CIF file:
```
data_Ac2DyLu
_chemical_formula_sum 'Ac2 Dy1 Lu1'
_cell_length_a 5.478
_cell_length_b 5.478
_cell_length_c 4.925
_cell_angle_alpha 90.00
_cell_angle_beta 90.00
_cell_angle_gamma 90.00
_symmetry_space_group_name_H-M 'P 4/m m m'
_symmetry_Int_Tables_number 123
_symmetry_space_group_name_Hall '-P 4 2'
loop_
_atom_site_label
_atom_site_fract_x
_atom_site_fract_y
_atom_site_fract_z
Ac1 0.000 0.500 0.000
Dy1 0.000 0.000 0.500
Lu1 0.500 0.500 0.500
```

*Q*
A relaxed Ac2DyLu crystal. Source: Alexandria via LeMat-Bulk, functional PBE.

CIF file:
```
data_Ac2DyLu
_chemical_formula_sum 'Ac8 Dy4 Lu4'
_cell_length_a 8.421
_cell_length_b 8.421
_cell_length_c 8.421
_cell_angle_alpha 90.00
_cell_angle_beta 90.00
_cell_angle_gamma 90.00
_symmetry_space_group_name_H-M 'F m -3 m'
_symmetry_Int_Tables_number 225
_symmetry_space_group_name_Hall '-F 4 2 3'
loop_
_atom_site_label
_atom_site_fract_x
_atom_site_fract_y
_atom_site_fract_z
Ac1 0.250 0.250 0.250
Dy1 0.000 0.000 0.000
Lu1 0.000 0.000 0.500
```

The structure with the least stability is *Q*.